Entry 1:
Compound: Na6HgS4
Source: Alexandria via LeMat-Bulk
Functional: PBE-GGA
Structure: relaxed

Structure (CIF):
```
data_Na6HgS4
_chemical_formula_sum 'Na12 Hg2 S8'
_symmetry_space_group_name_H-M 'I m m 2'
_symmetry_Int_Tables_number 44
_cell_length_a 4.121
_cell_length_b 14.561
_cell_length_c 8.262
_cell_angle_alpha 90.00
_cell_angle_beta 90.00
_cell_angle_gamma 90.00
loop_
_symmetry_equiv_pos_as_xyz
'x,y,z'
'-x,-y,z'
'-x,y,z'
'x,-y,z'
'x+1/2,y+1/2,z+1/2'
'-x+1/2,-y+1/2,z+1/2'
'-x+1/2,y+1/2,z+1/2'
'x+1/2,-y+1/2,z+1/2'
loop_
_atom_site_label
_atom_site_fract_x
_atom_site_fract_y
_atom_site_fract_z
Na1 0.000 0.119 0.000
Na2 0.000 0.310 0.787
Na3 0.000 0.360 0.170
Hg1 0.000 0.000 0.427
S1 0.000 0.000 0.725
S2 0.000 0.250 0.473
S3 0.000 0.500 0.730
```

Summary:
ΔE_f (raw)   -0.882 eV/atom
Crystal system   orthorhombic

***

Entry 2:
Compound: TcPbSe2
Source: Alexandria via LeMat-Bulk
Functional: PBE-GGA
Structure: relaxed

Structure (CIF):
```
data_TcPbSe2
_chemical_formula_sum 'Tc1 Pb1 Se2'
_symmetry_space_group_name_H-M 'P 4/m m m'
_symmetry_Int_Tables_number 123
_symmetry_space_group_name_Hall '-P 4 2'
_cell_length_a 3.115
_cell_length_b 3.115
_cell_length_c 8.877
_cell_angle_alpha 90.00
_cell_angle_beta 90.00
_cell_angle_gamma 90.00
loop_
_atom_site_label
_atom_site_fract_x
_atom_site_fract_y
_atom_site_fract_z
Tc1 0.000 0.000 0.000
Pb1 0.000 0.000 0.500
Se1 0.500 0.500 0.172
```

Summary:
ΔE_f (raw)   -0.016 eV/atom
Crystal system   tetragonal
E above lowest polymorph   143 meV per atom

***

Entry 3:
Compound: Na2BrCl
Source: Alexandria via LeMat-Bulk
Functional: PBE-GGA
Structure: relaxed

Structure (CIF):
```
data_Na2BrCl
_chemical_formula_sum 'Na2 Br1 Cl1'
_symmetry_space_group_name_H-M 'P 4/m m m'
_symmetry_Int_Tables_number 123
_symmetry_space_group_name_Hall '-P 4 2'
_cell_length_a 3.621
_cell_length_b 3.621
_cell_length_c 7.236
_cell_angle_alpha 90.00
_cell_angle_beta 90.00
_cell_angle_gamma 90.00
loop_
_atom_site_label
_atom_site_fract_x
_atom_site_fract_y
_atom_site_fract_z
Na1 0.000 0.000 0.242
Br1 0.500 0.500 0.500
Cl1 0.500 0.500 0.000
```

Summary:
ΔE_f (raw)   -1.521 eV/atom
Crystal system   tetragonal
E above lowest polymorph   156 meV per atom

***

Question: ΔE_f (raw) of number 2 (TcPbSe2)?
Answer: -0.016 eV/atom